KLa2IrO6 after structural relaxation. Source: Alexandria via LeMat-Bulk, functional PBE.

The structure in POSCAR format:
```
KLa2IrO6
1.0
5.705 0.000 0.026
0.000 6.300 0.000
0.080 0.000 8.786
O La K Ir
12 4 2 2
Cartesian
1.187 0.947 4.233
3.731 1.494 5.502
2.150 5.467 6.098
2.054 4.806 3.310
4.080 2.203 8.639
4.946 4.644 7.716
0.822 2.317 7.094
4.963 3.983 1.718
4.598 5.352 4.579
3.635 0.833 2.713
1.705 4.097 0.173
0.839 1.656 1.096
2.811 2.956 1.976
5.703 0.194 6.382
2.974 3.344 6.836
0.082 6.106 2.430
2.853 0.000 0.013
0.040 3.150 4.393
0.000 3.150 0.000
2.893 0.000 4.406
```

Properties
Formation energy without anion corrections ... -50.9 kcal/mol of atoms
Uncorrected energy ... -7.164 eV/atom
Space-group type ... P2_1/c (14)



K2LaIrO after structural relaxation. Source: Alexandria via LeMat-Bulk, functional PBE.

The structure in POSCAR format:
```
K2LaIrO
1.0
4.976 0.000 0.000
0.000 4.869 0.000
0.000 0.000 4.976
K Ir La O
2 1 1 1
Cartesian
0.000 0.000 2.488
2.488 0.000 0.000
2.488 2.434 2.488
0.000 2.434 0.000
0.000 0.000 0.000
```

Properties
Formation energy without anion corrections ... -12.4 kcal/mol of atoms
Uncorrected energy ... -4.724 eV/atom
Space-group type ... P4/mmm (123)



K2LaIr3O12 after structural relaxation. Source: Alexandria via LeMat-Bulk, functional PBE.

The structure in POSCAR format:
```
K2LaIr3O12
1.0
-2.083 -0.237 6.518
2.985 -4.872 3.773
4.574 2.311 4.542
O Ir La K
12 3 1 2
Cartesian
2.684 0.580 3.975
2.017 -2.436 3.652
-0.111 -0.489 4.805
2.792 -3.378 10.859
3.300 -3.738 6.296
5.282 -1.902 6.854
2.175 0.940 8.537
3.459 -0.362 11.181
1.201 -3.463 8.066
0.193 -0.896 7.979
5.587 -2.309 10.029
4.274 0.665 6.767
-1.041 -0.118 3.259
2.287 1.155 2.271
1.492 -2.436 1.887
0.000 0.000 0.000
2.186 -1.117 5.921
3.290 -1.681 8.912
```

Properties
Formation energy without anion corrections ... -26.9 kcal/mol of atoms
Uncorrected energy ... -6.346 eV/atom
Space-group type ... R-3m (166)



no.,density of states at the Fermi level (states/eV/f.u.)
1,5.0
2,2.0
3,13.1